## Fe2PtW (PBE-GGA)

Data for a relaxed Fe2PtW crystal.

```
data_Fe2PtW
_chemical_formula_sum 'Fe6 Pt3 W3'
_symmetry_space_group_name_H-M 'R 3 m'
_symmetry_Int_Tables_number 160
_symmetry_space_group_name_Hall 'R 3 -2"'
_cell_length_a 2.7593
_cell_length_b 2.7593
_cell_length_c 25.6428
_cell_angle_alpha 90.00
_cell_angle_beta 90.00
_cell_angle_gamma 120.00
loop_
_atom_site_label
_atom_site_fract_x
_atom_site_fract_y
_atom_site_fract_z
_atom_site_occupancy
Fe1 0.0000 0.0000 0.0000 1
Fe2 0.0000 0.0000 0.2609 1
Pt1 0.0000 0.0000 0.7518 1
W1 0.0000 0.0000 0.5096 1
```

uncorrected energy = -8.887 eV per atom
calculated formation energy = 0.0927 eV per atom
energy above the most stable polymorph in this dataset = 190.6 meV/atom
calculated density = 14.455 Mg/m³
spin magnetization = 14.34 μB per cell
DOS at the Fermi energy = 3.178 states/eV/f.u.